CdTcAu2 (meta-GGA SCAN, single point on PBEsol structure); magnetic moment = 0.00 μB per atom; energy relative to the elements = 0.148 eV/atom; DOS at the Fermi energy = 2.86 states/eV per cell
1.0
2.813 0.000 0.000
0.000 2.813 0.000
0.000 0.000 8.341
Au Cd Tc
2 1 1
Cartesian
0.000 0.000 6.138 Au
0.000 0.000 2.203 Au
1.406 1.406 0.000 Cd
1.406 1.406 4.170 Tc